Record 1
# BTeSe2N

A relaxed structure of BTeSe2N (PBE-GGA, Alexandria via LeMat-Bulk).

Cell lengths 5.4241, 5.4241, 3.9402 Å; angles 90.00, 90.00, 90.00 degrees
Last column: nearest neighbours and their distance in Å.
Element x y z (fractional)
B1 0.5000 0.5000 0.5000  8 Se 3.35
Te1 0.0000 0.0000 0.0000  2 N 1.97
Se1 0.0000 0.5000 0.0000  2 Te 2.71
Se2 0.5000 0.0000 0.0000  2 Te 2.71
N1 0.0000 0.0000 0.5000  2 Te 1.97

Energy above the lowest structure with this stoichiometry ... 1524 meV/atom
ΔE_f (raw) ... 1.7965 eV/atom
VASP energy ... -0.2371 Ry per atom
M_tot ... 0.00 μB/atom

Record 2
# Rb2NaCd3Bi4

A relaxed structure of Rb2NaCd3Bi4 (PBE-GGA, Alexandria via LeMat-Bulk).

Cell lengths 5.1975, 5.1975, 12.7755 Å; angles 90.00, 90.00, 90.00 degrees
Last column: nearest neighbours and their distance in Å.
Element x y z (fractional)
Rb1 0.5000 0.0000 0.2533  8 Bi 3.95-4.15, 6 Cd 3.96-4.08, 2 Na 4.08
Rb2 0.0000 0.5000 0.7467  8 Bi 3.95-4.15, 6 Cd 3.96-4.08, 2 Na 4.08
Na1 0.5000 0.5000 0.5000  4 Bi 3.11
Cd1 0.0000 0.0000 0.5000  4 Bi 3.11
Cd2 0.5000 0.0000 0.8620  5 Bi 2.91-3.14
Cd3 0.0000 0.5000 0.1380  5 Bi 2.91-3.14
Bi1 0.5000 0.5000 0.0000  4 Cd 3.14
Bi2 0.0000 0.0000 0.0000  4 Cd 3.14
Bi3 0.5000 0.0000 0.6343  3 Cd 2.91-3.11, 2 Na 3.11
Bi4 0.0000 0.5000 0.3657  3 Cd 2.91-3.11, 2 Na 3.11

Formation enthalpy at 0 K ... -0.26 eV/atom
VASP energy ... -0.1773 Ry per atom
M_tot ... 0.00 μB/atom

Record 3
# AlRu2Cl

A relaxed structure of AlRu2Cl (PBE-GGA, Alexandria via LeMat-Bulk).

Cell lengths 5.3128, 5.3128, 4.1023 Å; angles 86.20, 86.20, 31.47 degrees
Last column: nearest neighbours and their distance in Å.
Element x y z (fractional)
Ru1 0.9645 0.9645 0.0342  1 Cl 2.43, 4 Al 2.53-2.66
Ru2 0.2386 0.2386 0.2242  4 Cl 2.46-2.59
Al1 0.5302 0.5302 0.5023  6 Ru 2.53-2.76, 1 Cl 2.67
Cl1 0.7667 0.7667 0.7393  5 Ru 2.43-2.59, 1 Al 2.67

Energy above the lowest structure with this stoichiometry ... 375 meV/atom
ΔE_f (raw) ... 0.2699 eV/atom
VASP energy ... -0.4237 Ry per atom
M_tot ... 0.00 μB/atom

Record 4
# NdDy3Pt

A relaxed structure of NdDy3Pt (PBE-GGA, Alexandria via LeMat-Bulk).

Cell lengths 6.0621, 6.7455, 7.7245 Å; angles 90.00, 90.00, 90.00 degrees
Last column: nearest neighbours and their distance in Å.
Element x y z (fractional)
Nd1 0.4236 0.3060 0.7008  1 Pt 2.92
Nd2 0.9235 0.0468 0.2009  1 Pt 2.92
Dy1 0.4128 0.3382 0.2009  1 Pt 2.79
Dy2 0.4239 0.8714 0.9666  2 Pt 2.78-2.80
Dy3 0.9240 0.4814 0.4666  2 Pt 2.78-2.80
Dy4 0.9130 0.0146 0.7009  1 Pt 2.79
Dy5 0.9242 0.4813 0.9349  2 Pt 2.78-2.80
Dy6 0.4243 0.8715 0.4350  2 Pt 2.78-2.80
Pt1 0.1935 0.6863 0.7006  5 Dy 2.78-2.80, 1 Nd 2.92
Pt2 0.6935 0.6664 0.2006  5 Dy 2.78-2.80, 1 Nd 2.92

Energy above the lowest structure with this stoichiometry ... 0 meV/atom
Formation enthalpy at 0 K ... -0.42 eV/atom
VASP energy ... -0.3928 Ry per atom
M_tot ... 0.00 μB/atom